VASP calculation (GGA-PBE) on a geometry-optimized K2LiW structure.

abc: 3.000 3.000 12.062
angles: 90.00 90.00 90.00
Space group P4mm (No. 99)
Inequivalent atoms, fractional coordinates:
K1 0.000 0.000 0.000 [1 per cell]
K2 0.500 0.500 0.350 [1 per cell]
Li1 0.000 0.000 0.609 [1 per cell]
W1 0.500 0.500 0.763 [1 per cell]

## Properties
Energy of formation from the pure elements (kJ per mole of atoms): 108.5
DFT total energy (eV/atom): -3.1407
Energy above the lowest structure with this stoichiometry (meV per atom): 0
Spin magnetization (μB/cell): 0.137
DOS at the Fermi energy (states/eV per atom): 0.5792

=====

VASP calculation (GGA-PBE) on a geometry-optimized K2LiW structure.

abc: 3.0922 3.0922 38.7006
angles: 90.00 90.00 120.00
Space group R3m (No. 160, hexagonal axes)
Inequivalent atoms, fractional coordinates:
K1 0.0000 0.0000 0.0000 [3 per cell]
K2 0.0000 0.0000 0.2266 [3 per cell]
Li1 0.0000 0.0000 0.7559 [3 per cell]
W1 0.0000 0.0000 0.4817 [3 per cell]

## Properties
Energy of formation from the pure elements (kJ per mole of atoms): 112.7
DFT total energy (eV/atom): -3.0976
Energy above the lowest structure with this stoichiometry (meV per atom): 43
Spin magnetization (μB/cell): 1.624
DOS at the Fermi energy (states/eV per atom): 0.9266

=====

VASP calculation (GGA-PBE) on a geometry-optimized KLiW2 structure.

abc: 9.004 2.632 7.631
angles: 90.00 90.97 90.00
Space group Cm (No. 8)
Inequivalent atoms, fractional coordinates:
K1 0.000 0.000 0.000 [2 per cell]
Li1 0.247 0.000 0.659 [2 per cell]
W1 0.005 0.500 0.483 [2 per cell]
W2 0.256 0.500 0.330 [2 per cell]

## Properties
Energy of formation from the pure elements (kJ per mole of atoms): 94.9
DFT total energy (eV/atom): -6.2459
Energy above the lowest structure with this stoichiometry (meV per atom): 236
Spin magnetization (μB/cell): 0.000
DOS at the Fermi energy (states/eV per atom): 1.1577

=====

VASP calculation (GGA-PBE) on a geometry-optimized KLi2W structure.

abc: 2.604 4.692 7.343
angles: 90.00 90.00 90.00
Space group Pmmm (No. 47)
Inequivalent atoms, fractional coordinates:
K1 0.000 0.000 0.000 [1 per cell]
Li1 0.500 0.500 0.335 [2 per cell]
W1 0.000 0.000 0.500 [1 per cell]

## Properties
Energy of formation from the pure elements (kJ per mole of atoms): 84.1
DFT total energy (eV/atom): -3.5983
Energy above the lowest structure with this stoichiometry (meV per atom): 102
Spin magnetization (μB/cell): 0.001
DOS at the Fermi energy (states/eV per atom): 0.7695

=====

VASP calculation (GGA-PBE) on a geometry-optimized KLi2W structure.

abc: 2.700 6.277 11.922
angles: 90.00 90.00 90.00
Space group Immm (No. 71)
Inequivalent atoms, fractional coordinates:
K1 0.000 0.000 0.000 [2 per cell]
Li1 0.000 0.500 0.207 [4 per cell]
W1 0.000 0.000 0.500 [2 per cell]

## Properties
Energy of formation from the pure elements (kJ per mole of atoms): 104.6
DFT total energy (eV/atom): -3.3852
Energy above the lowest structure with this stoichiometry (meV per atom): 315
Spin magnetization (μB/cell): 2.435
DOS at the Fermi energy (states/eV per atom): 0.6379

=====

VASP calculation (GGA-PBE) on a geometry-optimized KLi2W structure.

abc: 7.568 7.568 7.568
angles: 90.00 90.00 90.00
Space group F-43m (No. 216)
Inequivalent atoms, fractional coordinates:
K1 0.000 0.000 0.000 [4 per cell]
Li1 0.000 0.000 0.500 [4 per cell]
Li2 0.250 0.250 0.250 [4 per cell]
W1 0.250 0.250 0.750 [4 per cell]

## Properties
Energy of formation from the pure elements (kJ per mole of atoms): 143.4
DFT total energy (eV/atom): -2.9835
Energy above the lowest structure with this stoichiometry (meV per atom): 717
Spin magnetization (μB/cell): 17.534
DOS at the Fermi energy (states/eV per atom): 0.5409

=====

VASP calculation (GGA-PBE) on a geometry-optimized KLi2W structure.

abc: 3.147 4.617 11.422
angles: 90.00 90.00 90.00
Space group Cmm2 (No. 35)
Inequivalent atoms, fractional coordinates:
K1 0.000 0.000 0.000 [2 per cell]
Li1 0.000 0.000 0.527 [2 per cell]
Li2 0.000 0.500 0.295 [2 per cell]
W1 0.000 0.500 0.733 [2 per cell]

## Properties
Energy of formation from the pure elements (kJ per mole of atoms): 74.2
DFT total energy (eV/atom): -3.7001
Energy above the lowest structure with this stoichiometry (meV per atom): 0
Spin magnetization (μB/cell): 0.000
DOS at the Fermi energy (states/eV per atom): 0.5476

=====

VASP calculation (GGA-PBE) on a geometry-optimized KLiW2 structure.

abc: 2.7712 2.7712 33.9970
angles: 90.00 90.00 120.00
Space group R-3m (No. 166, hexagonal axes)
Inequivalent atoms, fractional coordinates:
K1 0.0000 0.0000 0.0000 [3 per cell]
Li1 0.0000 0.0000 0.5000 [3 per cell]
W1 0.0000 0.0000 0.2404 [6 per cell]

## Properties
Energy of formation from the pure elements (kJ per mole of atoms): 104.8
DFT total energy (eV/atom): -6.1428
Energy above the lowest structure with this stoichiometry (meV per atom): 339
Spin magnetization (μB/cell): 0.005
DOS at the Fermi energy (states/eV per atom): 0.7879

=====

VASP calculation (GGA-PBE) on a geometry-optimized KLi2W structure.

abc: 10.745 2.656 5.948
angles: 90.00 94.30 90.00
Space group Cm (No. 8)
Inequivalent atoms, fractional coordinates:
K1 0.000 0.000 0.000 [2 per cell]
Li1 0.254 0.500 0.220 [2 per cell]
Li2 0.498 0.000 0.515 [2 per cell]
W1 0.239 0.000 0.645 [2 per cell]

## Properties
Energy of formation from the pure elements (kJ per mole of atoms): 94.3
DFT total energy (eV/atom): -3.4924
Energy above the lowest structure with this stoichiometry (meV per atom): 208
Spin magnetization (μB/cell): 2.062
DOS at the Fermi energy (states/eV per atom): 0.6471

=====

VASP calculation (GGA-PBE) on a geometry-optimized KLi2W structure.

abc: 7.414 7.414 7.414
angles: 90.00 90.00 90.00
Space group Fm-3m (No. 225)
Inequivalent atoms, fractional coordinates:
K1 0.000 0.000 0.000 [4 per cell]
Li1 0.250 0.250 0.250 [8 per cell]
W1 0.000 0.000 0.500 [4 per cell]

## Properties
Energy of formation from the pure elements (kJ per mole of atoms): 134.8
DFT total energy (eV/atom): -3.0726
Energy above the lowest structure with this stoichiometry (meV per atom): 628
Spin magnetization (μB/cell): 18.114
DOS at the Fermi energy (states/eV per atom): 0.4261

=====

VASP calculation (GGA-PBE) on a geometry-optimized K2LiW structure.

abc: 13.484 2.859 6.673
angles: 90.00 106.29 90.00
Space group Cm (No. 8)
Inequivalent atoms, fractional coordinates:
K1 0.000 0.000 0.000 [2 per cell]
K2 0.200 0.000 0.605 [2 per cell]
Li1 0.287 0.500 0.179 [2 per cell]
W1 0.437 0.000 0.465 [2 per cell]

## Properties
Energy of formation from the pure elements (kJ per mole of atoms): 117.8
DFT total energy (eV/atom): -3.0449
Energy above the lowest structure with this stoichiometry (meV per atom): 96
Spin magnetization (μB/cell): 4.014
DOS at the Fermi energy (states/eV per atom): 0.6875

=====

VASP calculation (GGA-PBE) on a geometry-optimized K2LiW structure.

abc: 5.801 5.801 8.240
angles: 90.00 90.00 90.00
Space group I-4m2 (No. 119)
Inequivalent atoms, fractional coordinates:
K1 0.000 0.000 0.000 [2 per cell]
K2 0.000 0.500 0.250 [2 per cell]
Li1 0.000 0.500 0.750 [2 per cell]
W1 0.000 0.000 0.500 [2 per cell]

## Properties
Energy of formation from the pure elements (kJ per mole of atoms): 144.1
DFT total energy (eV/atom): -2.7718
Energy above the lowest structure with this stoichiometry (meV per atom): 369
Spin magnetization (μB/cell): 9.682
DOS at the Fermi energy (states/eV per atom): 0.5513

=====

VASP calculation (GGA-PBE) on a geometry-optimized KLiW2 structure.

abc: 5.901 5.901 2.505
angles: 90.00 90.00 90.00
Space group P4/mmm (No. 123)
Inequivalent atoms, fractional coordinates:
K1 0.000 0.000 0.000 [1 per cell]
Li1 0.500 0.500 0.000 [1 per cell]
W1 0.000 0.500 0.500 [2 per cell]

## Properties
Energy of formation from the pure elements (kJ per mole of atoms): 206.1
DFT total energy (eV/atom): -5.0936
Energy above the lowest structure with this stoichiometry (meV per atom): 1389
Spin magnetization (μB/cell): 0.001
DOS at the Fermi energy (states/eV per atom): 0.9643

=====

VASP calculation (GGA-PBE) on a geometry-optimized K2LiW structure.

abc: 5.237 5.237 10.616
angles: 90.00 90.00 90.00
Space group I4/mmm (No. 139)
Inequivalent atoms, fractional coordinates:
K1 0.000 0.500 0.250 [4 per cell]
Li1 0.000 0.000 0.000 [2 per cell]
W1 0.000 0.000 0.500 [2 per cell]

## Properties
Energy of formation from the pure elements (kJ per mole of atoms): 148.4
DFT total energy (eV/atom): -2.7279
Energy above the lowest structure with this stoichiometry (meV per atom): 413
Spin magnetization (μB/cell): 9.658
DOS at the Fermi energy (states/eV per atom): 0.5078

=====

VASP calculation (GGA-PBE) on a geometry-optimized K2LiW structure.

abc: 6.813 11.920 2.772
angles: 90.00 104.53 90.00
Space group C2/m (No. 12)
Inequivalent atoms, fractional coordinates:
K1 0.250 0.250 0.000 [4 per cell]
Li1 0.000 0.000 0.500 [2 per cell]
W1 0.000 0.500 0.500 [2 per cell]

## Properties
Energy of formation from the pure elements (kJ per mole of atoms): 130.3
DFT total energy (eV/atom): -2.9155
Energy above the lowest structure with this stoichiometry (meV per atom): 225
Spin magnetization (μB/cell): 1.684
DOS at the Fermi energy (states/eV per atom): 0.8222

=====

VASP calculation (GGA-PBE) on a geometry-optimized KLiW2 structure.

abc: 3.733 3.733 11.570
angles: 90.00 90.00 90.00
Space group I4/mmm (No. 139)
Inequivalent atoms, fractional coordinates:
K1 0.000 0.000 0.000 [2 per cell]
Li1 0.000 0.000 0.500 [2 per cell]
W1 0.000 0.500 0.250 [4 per cell]

## Properties
Energy of formation from the pure elements (kJ per mole of atoms): 129.6
DFT total energy (eV/atom): -5.8862
Energy above the lowest structure with this stoichiometry (meV per atom): 596
Spin magnetization (μB/cell): 0.000
DOS at the Fermi energy (states/eV per atom): 1.0554

=====

VASP calculation (GGA-PBE) on a geometry-optimized K2LiW structure.

abc: 3.356 4.829 12.773
angles: 90.00 90.00 90.00
Space group Cmmm (No. 65)
Inequivalent atoms, fractional coordinates:
K1 0.000 0.000 0.233 [4 per cell]
Li1 0.000 0.500 0.500 [2 per cell]
W1 0.000 0.500 0.000 [2 per cell]

## Properties
Energy of formation from the pure elements (kJ per mole of atoms): 112.2
DFT total energy (eV/atom): -3.1029
Energy above the lowest structure with this stoichiometry (meV per atom): 38
Spin magnetization (μB/cell): 0.001
DOS at the Fermi energy (states/eV per atom): 1.0237

=====

VASP calculation (GGA-PBE) on a geometry-optimized KLiW2 structure.

abc: 2.902 4.598 5.861
angles: 90.00 90.00 90.00
Space group Pmmm (No. 47)
Inequivalent atoms, fractional coordinates:
K1 0.000 0.000 0.000 [1 per cell]
Li1 0.500 0.500 0.000 [1 per cell]
W1 0.000 0.500 0.500 [1 per cell]
W2 0.500 0.000 0.500 [1 per cell]

## Properties
Energy of formation from the pure elements (kJ per mole of atoms): 111.9
DFT total energy (eV/atom): -6.0693
Energy above the lowest structure with this stoichiometry (meV per atom): 413
Spin magnetization (μB/cell): 0.182
DOS at the Fermi energy (states/eV per atom): 0.7484

=====

VASP calculation (GGA-PBE) on a geometry-optimized KLi2W structure.

abc: 2.9179 2.9179 34.6479
angles: 90.00 90.00 120.00
Space group R-3m (No. 166, hexagonal axes)
Inequivalent atoms, fractional coordinates:
K1 0.0000 0.0000 0.0000 [3 per cell]
Li1 0.0000 0.0000 0.2358 [6 per cell]
W1 0.0000 0.0000 0.5000 [3 per cell]

## Properties
Energy of formation from the pure elements (kJ per mole of atoms): 78.0
DFT total energy (eV/atom): -3.6613
Energy above the lowest structure with this stoichiometry (meV per atom): 39
Spin magnetization (μB/cell): 1.392
DOS at the Fermi energy (states/eV per atom): 0.9062

=====

VASP calculation (GGA-PBE) on a geometry-optimized KLiW2 structure.

abc: 3.235 4.752 10.756
angles: 90.00 90.00 90.00
Space group Cmm2 (No. 35)
Inequivalent atoms, fractional coordinates:
K1 0.000 0.000 0.000 [2 per cell]
Li1 0.000 0.500 0.690 [2 per cell]
W1 0.000 0.000 0.475 [2 per cell]
W2 0.000 0.500 0.288 [2 per cell]

## Properties
Energy of formation from the pure elements (kJ per mole of atoms): 72.1
DFT total energy (eV/atom): -6.4823
Energy above the lowest structure with this stoichiometry (meV per atom): 0
Spin magnetization (μB/cell): 0.000
DOS at the Fermi energy (states/eV per atom): 0.6651